The following is a DFT calculation (GGA-PBE) of a relaxed LiZrMnGe2 crystal.

Formation enthalpy at 0 K (eV/atom): 0.66

Unit cell a=5.2210 b=5.2210 c=5.0115 alpha=90.00 beta=90.00 gamma=90.00
With the nearest neighbours (Å) after each atom.
Space group P4/mmm (No. 123)
Symmetry-distinct sites (fractional):
Li  0.0000  0.0000  0.0000  8 Ge 3.62, 4 Mn 3.69
Zr  0.5000  0.5000  0.5000  2 Mn 2.51, 4 Ge 2.61
Mn  0.5000  0.5000  0.0000  2 Zr 2.51
Ge  0.0000  0.5000  0.5000  2 Zr 2.61